{"formula": "PmPr3Cu4", "functional": "PBE", "state": "optimized geometry", "cell": [[5.1141, 0.0000, 0.0000], [0.0000, 5.1141, 0.0000], [0.0000, 0.0000, 7.1796]], "species": ["Pm", "Pr", "Pr", "Pr", "Cu", "Cu", "Cu", "Cu"], "frac_coords": [[0.0000, 0.0000, 0.0000], [0.0000, 0.0000, 0.5000], [0.5000, 0.5000, 0.0000], [0.5000, 0.5000, 0.5000], [0.0000, 0.5000, 0.2450], [0.0000, 0.5000, 0.7550], [0.5000, 0.0000, 0.2450], [0.5000, 0.0000, 0.7550]], "formation_enthalpy_0k_kj_per_mol_atoms": -12.3, "space_group": "P4/mmm", "energy_ry_per_atom": -0.335}